# MnSnN2F

A relaxed MnSnN2F crystal (PBE+U, Alexandria via LeMat-Bulk).

abc: 4.122 4.122 4.146
angles: 90.00 90.00 90.00
Fractional coordinates of all 5 atoms:
Mn: 0.000 0.000 0.000
Sn: 0.500 0.500 0.500
N: 0.000 0.500 0.500
N: 0.500 0.000 0.500
F: 0.500 0.500 0.000

## Properties
The value obtained for the relative energy among the computed polymorphs is 0.1410 eV/atom. The value obtained for the total energy is -5.78 eV/atom. Its spin magnetization is 4.386 μB/cell.